[1]
A relaxed CaMg2Sb crystal. Source: Alexandria via LeMat-Bulk, functional GGA-PBE.

- SG = I-42d
- energy above the lowest structure with this stoichiometry (kJ/mol of atoms) = 21.6
- formation energy from raw total energies (meV per atom) = -197

Cell lengths 8.9192, 8.9192, 7.0134 Å; angles 50.52, 50.52, 90.00 degrees
With the nearest neighbours (Å) after each atom.
Fractional coordinates of all 8 atoms:
Sb 0.0000 0.0000 0.0000  4 Mg 2.91, 2 Ca 3.07
Sb 0.7500 0.2500 0.5000  4 Mg 2.91, 2 Ca 3.07
Ca 0.5000 0.5000 0.0000  2 Sb 3.07
Ca 0.2500 0.7500 0.5000  2 Sb 3.07
Mg 0.6839 0.1250 0.2500  2 Sb 2.91, 2 Mg 3.24
Mg 0.0661 0.6250 0.2500  2 Sb 2.91, 2 Mg 3.24
Mg 0.3750 0.3161 0.7500  2 Sb 2.91, 2 Mg 3.24
Mg 0.8750 0.9339 0.7500  2 Sb 2.91, 2 Mg 3.24

[2]
A relaxed Sm2TaSi4Pt3 crystal. Source: Alexandria via LeMat-Bulk, functional GGA-PBE.

- SG = P-4m2
- formation energy from raw total energies (meV per atom) = -969

Cell lengths 4.2097, 4.2097, 10.2952 Å; angles 90.00, 90.00, 90.00 degrees
With the nearest neighbours (Å) after each atom.
Fractional coordinates of all 10 atoms:
Sm 0.5000 0.0000 0.2378  8 Si 3.21-3.23, 6 Pt 3.22-3.42, 2 Ta 3.42
Sm 0.0000 0.5000 0.7622  8 Si 3.21-3.23, 6 Pt 3.22-3.42, 2 Ta 3.42
Ta 0.5000 0.5000 0.5000  4 Si 2.58
Si 0.5000 0.5000 0.0000  4 Pt 2.43
Si 0.0000 0.0000 0.0000  4 Pt 2.43
Si 0.5000 0.0000 0.6450  3 Pt 2.43-2.58, 2 Ta 2.58
Si 0.0000 0.5000 0.3550  3 Pt 2.43-2.58, 2 Ta 2.58
Pt 0.0000 0.0000 0.5000  4 Si 2.58
Pt 0.5000 0.0000 0.8814  5 Si 2.43
Pt 0.0000 0.5000 0.1186  5 Si 2.43

[3]
A relaxed NaSr4Tl2Hg crystal. Source: Alexandria via LeMat-Bulk, functional GGA-PBE.

- SG = R-3m
- calculated formation energy (eV/f.u.) = -2.9

Cell lengths 5.8365, 5.8365, 10.1128 Å; angles 73.23, 73.23, 60.00 degrees
With the nearest neighbours (Å) after each atom.
Fractional coordinates of all 8 atoms:
Na 0.0000 0.0000 0.0000  8 Sr 3.64-3.74, 6 Tl 4.03
Sr 0.3816 0.3816 0.8551  1 Hg 3.39, 4 Tl 3.47-3.60, 3 Na 3.64
Sr 0.8692 0.8692 0.3925  3 Hg 3.52, 4 Tl 3.58-3.70, 1 Na 3.74, 3 Sr 3.94
Sr 0.1308 0.1308 0.6075  3 Hg 3.52, 4 Tl 3.58-3.70, 1 Na 3.74, 3 Sr 3.94
Sr 0.6184 0.6184 0.1449  1 Hg 3.39, 4 Tl 3.47-3.60, 3 Na 3.64
Tl 0.7441 0.7441 0.7677  8 Sr 3.47-3.70
Tl 0.2559 0.2559 0.2323  8 Sr 3.47-3.70
Hg 0.5000 0.5000 0.5000  8 Sr 3.39-3.52

[4]
A relaxed Nb5OsRh4 crystal. Source: Alexandria via LeMat-Bulk, functional GGA-PBE.

- SG = P4/mmm
- calculated formation energy (eV/f.u.) = -3.5

Cell lengths 2.9065, 2.9065, 19.0670 Å; angles 90.00, 90.00, 90.00 degrees
With the nearest neighbours (Å) after each atom.
Fractional coordinates of all 10 atoms:
Nb 0.5000 0.5000 0.0982  4 Os 2.78, 4 Rh 2.82, 4 Nb 2.91
Nb 0.5000 0.5000 0.2996  8 Rh 2.80-2.81, 4 Nb 2.91
Nb 0.5000 0.5000 0.5000  8 Rh 2.81, 4 Nb 2.91
Nb 0.5000 0.5000 0.7004  8 Rh 2.80-2.81, 4 Nb 2.91
Nb 0.5000 0.5000 0.9018  4 Os 2.78, 4 Rh 2.82, 4 Nb 2.91
Os 0.0000 0.0000 0.0000  8 Nb 2.78, 4 Os 2.91
Rh 0.0000 0.0000 0.1992  8 Nb 2.81-2.82, 4 Rh 2.91
Rh 0.0000 0.0000 0.3994  8 Nb 2.80-2.81, 4 Rh 2.91
Rh 0.0000 0.0000 0.6006  8 Nb 2.80-2.81, 4 Rh 2.91
Rh 0.0000 0.0000 0.8008  8 Nb 2.81-2.82, 4 Rh 2.91

no.,total magnetization (μB per cell),N(E_F) (states/eV/cell)
1,0.0,10.43
2,0.0,3.56
3,0.0,7.96
4,0.0,9.09